1.
Density functional theory data (PBE-GGA) for a relaxed BaSc2Ta crystal.

Results
For the energy above the most stable polymorph in this dataset, the calculation gives 190 meV/atom. Its space-group type is No. 99. The formation energy comes out at 0.53 eV per atom.

Cell lengths 3.1731, 3.1731, 10.7243 Å; angles 90.00, 90.00, 90.03 degrees
With the nearest neighbours (Å) after each atom.
Fractional coordinates of all 4 atoms:
Sc1 0.5000 0.5000 0.2712  4 Ta 3.01, 4 Sc 3.17
Ba1 0.5000 0.5000 0.7342  4 Ba 3.17
Ta1 0.0000 0.0000 0.4580  4 Sc 3.01, 4 Ta 3.17
Sc2 0.0000 0.0000 0.0366  8 Sc 3.17-3.37

---

2.
Density functional theory data (PBE-GGA) for a relaxed KTa3Mo crystal.

Results
For the energy above the most stable polymorph in this dataset, the calculation gives 0 meV/atom. Its space-group type is No. 221. The formation energy comes out at 1.53 eV per atom.

Cell lengths 4.9919, 4.9919, 4.9919 Å; angles 90.00, 90.00, 90.00 degrees
With the nearest neighbours (Å) after each atom.
Fractional coordinates of all 5 atoms:
Mo1 0.0000 0.0000 0.0000  6 Ta 2.50
Ta1 0.0000 0.5000 0.0000  2 Mo 2.50
K1 0.5000 0.5000 0.5000  12 Ta 3.53
Ta2 0.0000 0.0000 0.5000  2 Mo 2.50
Ta3 0.5000 0.0000 0.0000  2 Mo 2.50

---

3.
Density functional theory data (PBE-GGA) for a relaxed K2FeSnCl6 crystal.

Results
For the uncorrected formation energy, the calculation gives -1.282 eV per atom. Its space-group type is No. 2.

Cell lengths 7.4249, 7.2928, 7.3532 Å; angles 119.29, 120.18, 91.13 degrees
With the nearest neighbours (Å) after each atom.
Fractional coordinates of all 10 atoms:
Cl1 0.7051 0.7117 0.5330  1 Fe 2.49
Cl2 0.7904 0.8603 0.1127  1 Fe 2.49
Fe1 0.9999 0.0005 0.9997  6 Cl 2.49-2.50
K1 0.7571 0.2633 0.5276  5 Cl 3.17-3.28
Cl3 0.8049 0.2748 0.9969  1 Fe 2.50
Cl4 0.2094 0.1404 0.8869  1 Fe 2.49
Sn1 0.4999 0.5005 0.9998  6 Cl 2.83-2.84
Cl5 0.1949 0.7259 0.0027  1 Fe 2.50
K2 0.2428 0.7375 0.4720  5 Cl 3.17-3.28
Cl6 0.2947 0.2890 0.4666  1 Fe 2.49

---

4.
Density functional theory data (PBE-GGA) for a relaxed HfTlGaCl6 crystal.

Results
For the uncorrected formation energy, the calculation gives -1.451 eV per atom. Its space-group type is No. 163.

Cell lengths 7.3252, 7.3252, 12.9678 Å; angles 90.00, 90.00, 120.00 degrees
With the nearest neighbours (Å) after each atom.
Fractional coordinates of all 18 atoms:
Cl1 0.3421 0.9464 0.6404  1 Hf 2.47
Ga1 0.6667 0.3333 0.7500  6 Cl 2.99
Cl2 0.3958 0.3421 0.3596  1 Hf 2.47
Tl1 0.0000 0.0000 0.0000  6 Cl 3.28
Cl3 0.3421 0.3958 0.8596  1 Hf 2.47
Cl4 0.6579 0.6042 0.1404  1 Hf 2.47
Cl5 0.0536 0.3958 0.6404  1 Hf 2.47
Cl6 0.9464 0.3421 0.1404  1 Hf 2.47
Cl7 0.6042 0.6579 0.6404  1 Hf 2.47
Tl2 0.0000 0.0000 0.5000  6 Cl 3.28
Cl8 0.3958 0.0536 0.1404  1 Hf 2.47
Cl9 0.6579 0.0536 0.3596  1 Hf 2.47
Hf1 0.3333 0.6667 0.7500  6 Cl 2.47
Hf2 0.6667 0.3333 0.2500  6 Cl 2.47
Cl10 0.6042 0.9464 0.8596  1 Hf 2.47
Ga2 0.3333 0.6667 0.2500  6 Cl 2.99
Cl11 0.0536 0.6579 0.8596  1 Hf 2.47
Cl12 0.9464 0.6042 0.3596  1 Hf 2.47

---

5.
Density functional theory data (PBE-GGA) for a relaxed AcTlC2O6 crystal.

Results
For the uncorrected formation energy, the calculation gives -1.958 eV per atom. Its space-group type is No. 15.

Cell lengths 6.8865, 6.8865, 7.5466 Å; angles 105.15, 105.15, 96.08 degrees
With the nearest neighbours (Å) after each atom.
Fractional coordinates of all 20 atoms:
O1 0.7063 0.4861 0.6190  1 C 1.32
O2 0.7552 0.7919 0.3836  1 C 1.30
C1 0.6197 0.8506 0.2634  3 O 1.28-1.32
Ac1 0.6077 0.3923 0.2500  8 O 2.51-2.72
O3 0.2448 0.2081 0.6164  1 C 1.30
O4 0.2937 0.5139 0.3810  1 C 1.32
O5 0.3883 0.9598 0.7160  1 C 1.28
Ac2 0.3923 0.6077 0.7500  8 O 2.51-2.72
O6 0.5139 0.2937 0.8810  1 C 1.32
Tl1 0.1208 0.8792 0.2500  6 O 2.93-3.17
O7 0.6117 0.0402 0.2840  1 C 1.28
O8 0.9598 0.3883 0.2160  1 C 1.28
C2 0.1494 0.3803 0.2366  3 O 1.28-1.32
O9 0.0402 0.6117 0.7840  1 C 1.28
O10 0.7919 0.7552 0.8836  1 C 1.30
C3 0.3803 0.1494 0.7366  3 O 1.28-1.32
C4 0.8506 0.6197 0.7634  3 O 1.28-1.32
O11 0.4861 0.7063 0.1190  1 C 1.32
Tl2 0.8792 0.1208 0.7500  6 O 2.93-3.17
O12 0.2081 0.2448 0.1164  1 C 1.30

---

6.
Density functional theory data (PBE-GGA) for a relaxed CaAg2Ir crystal.

Results
For the energy above the most stable polymorph in this dataset, the calculation gives 111 meV/atom. Its space-group type is No. 99. The formation energy comes out at 0.12 eV per atom.

Cell lengths 3.1029, 3.1030, 8.0653 Å; angles 90.00, 90.00, 90.00 degrees
With the nearest neighbours (Å) after each atom.
Fractional coordinates of all 4 atoms:
Ag1 0.5000 0.5000 0.2216  8 Ag 2.89-3.10
Ir1 0.5000 0.5000 0.7632  4 Ag 2.85, 4 Ca 2.91, 4 Ir 3.10
Ca1 0.0000 0.0000 0.5269  4 Ir 2.91, 4 Ca 3.10
Ag2 0.0000 0.0000 0.9883  4 Ir 2.85, 8 Ag 2.89-3.10

---

7.
Density functional theory data (PBE-GGA) for a relaxed Sm2ZnGe3Ir4 crystal.

Results
Its space-group type is No. 115. The formation energy comes out at -0.72 eV per atom.

Cell lengths 4.2095, 4.2095, 10.3811 Å; angles 90.00, 90.00, 90.00 degrees
With the nearest neighbours (Å) after each atom.
Fractional coordinates of all 10 atoms:
Ge1 0.0000 0.0000 0.5000  4 Ir 2.53
Ir1 0.5000 0.0000 0.6349  3 Ge 2.44-2.53, 2 Zn 2.53
Sm1 0.0000 0.5000 0.7493  8 Ir 3.20-3.35, 6 Ge 3.23-3.34, 2 Zn 3.34
Ir2 0.0000 0.0000 0.0000  4 Ge 2.50
Ge2 0.0000 0.5000 0.1305  5 Ir 2.44-2.50
Sm2 0.5000 0.0000 0.2507  8 Ir 3.20-3.35, 6 Ge 3.23-3.34, 2 Zn 3.34
Zn1 0.5000 0.5000 0.5000  4 Ir 2.53
Ge3 0.5000 0.0000 0.8695  5 Ir 2.44-2.50
Ir3 0.0000 0.5000 0.3651  3 Ge 2.44-2.53, 2 Zn 2.53
Ir4 0.5000 0.5000 0.0000  4 Ge 2.50

---

8.
Density functional theory data (PBE-GGA) for a relaxed In crystal.

Results
For the energy above the most stable polymorph in this dataset, the calculation gives 41 meV/atom. Its space-group type is No. 217. The formation energy comes out at 0.04 eV per atom.

Cell lengths 10.1434, 10.1434, 10.1434 Å; angles 109.47, 109.47, 109.47 degrees
With the nearest neighbours (Å) after each atom.
Fractional coordinates of all 29 atoms:
In1 0.4109 0.6891 0.0000  8 In 3.16-3.46
In2 0.0000 0.3825 0.1930  10 In 3.14-3.49
In3 0.3825 0.0000 0.1930  10 In 3.14-3.49
In4 0.1930 0.0000 0.3825  10 In 3.14-3.49
In5 0.0000 0.1930 0.3825  10 In 3.14-3.49
In6 0.3363 0.3363 0.3363  10 In 3.34-3.49
In7 0.4109 0.0000 0.6891  8 In 3.16-3.46
In8 0.5891 0.5891 0.2782  8 In 3.16-3.46
In9 0.5891 0.2782 0.5891  8 In 3.16-3.46
In10 0.6891 0.0000 0.4109  8 In 3.16-3.46
In11 0.8070 0.8070 0.1895  10 In 3.14-3.49
In12 0.0000 0.4109 0.6891  8 In 3.16-3.46
In13 0.3825 0.1930 0.0000  10 In 3.14-3.49
In14 0.8105 0.6175 0.6175  10 In 3.14-3.49
In15 0.1930 0.3825 0.0000  10 In 3.14-3.49
In16 0.6175 0.6175 0.8105  10 In 3.14-3.49
In17 0.6637 0.0000 0.0000  10 In 3.34-3.49
In18 0.0000 0.0000 0.6637  10 In 3.34-3.49
In19 0.1895 0.8070 0.8070  10 In 3.14-3.49
In20 0.3109 0.7218 0.3109  8 In 3.16-3.46
In21 0.0000 0.6891 0.4109  8 In 3.16-3.46
In22 0.0000 0.0000 0.0000  16 In 3.41-3.72
In23 0.3109 0.3109 0.7218  8 In 3.16-3.46
In24 0.7218 0.3109 0.3109  8 In 3.16-3.46
In25 0.6891 0.4109 0.0000  8 In 3.16-3.46
In26 0.6175 0.8105 0.6175  10 In 3.14-3.49
In27 0.0000 0.6637 0.0000  10 In 3.34-3.49
In28 0.2782 0.5891 0.5891  8 In 3.16-3.46
In29 0.8070 0.1895 0.8070  10 In 3.14-3.49

---

9.
Density functional theory data (PBE-GGA) for a relaxed MgAs4 crystal.

Results
Its space-group type is No. 229. The formation energy comes out at 0.21 eV per atom.

Cell lengths 5.2430, 5.2430, 5.2430 Å; angles 109.47, 109.47, 109.47 degrees
With the nearest neighbours (Å) after each atom.
Fractional coordinates of all 5 atoms:
As1 0.5000 0.0000 0.0000  2 Mg 2.62
As2 0.5000 0.5000 0.5000  2 Mg 2.62
As3 0.0000 0.0000 0.5000  2 Mg 2.62
Mg1 0.0000 0.0000 0.0000  8 As 2.62
As4 0.0000 0.5000 0.0000  2 Mg 2.62

---

10.
Density functional theory data (PBE-GGA) for a relaxed CdInFeS2 crystal.

Results
For the uncorrected formation energy, the calculation gives 0.107 eV per atom. Its space-group type is No. 123.

Cell lengths 4.4422, 5.5839, 4.4422 Å; angles 90.00, 90.00, 90.00 degrees
With the nearest neighbours (Å) after each atom.
Fractional coordinates of all 5 atoms:
S1 0.5000 0.0000 0.0000  2 Fe 2.22
In1 0.0000 0.5000 0.0000  2 Fe 2.79
Fe1 0.0000 0.0000 0.0000  4 S 2.22
Cd1 0.5000 0.5000 0.5000  4 In 3.14
S2 0.0000 0.0000 0.5000  2 Fe 2.22